Here is an optimized crystal structure of PuHfInHg from Alexandria via LeMat-Bulk. Energies are from GGA-PBE.

Lattice parameters (Å, degrees): 5.156 5.156 5.156 60.00 60.00 60.00
Element x y z (fractional)
Pu: 0.000 0.000 0.000
Hf: 0.500 0.500 0.500
In: 0.750 0.750 0.750
Hg: 0.250 0.250 0.250

Summary:
energy relative to the elements	14	meV per atom
final energy	-6.82	eV per atom
SG	No. 216
D(E_F)	9.7	states/eV per cell
magnetic moment	1.650	μB/atom